YAlCr3 at its PBEsol-relaxed geometry. Source: the Alexandria database, functional SCAN.

abc: 4.554 4.554 4.554
angles: 90.00 90.00 90.00
Space group Pm-3m (No. 221)
Asymmetric unit:
Y: 0.000 0.000 0.000 [1 per cell]
Al: 0.500 0.500 0.500 [1 per cell]
Cr: 0.000 0.500 0.500 [3 per cell]

Output
Final energy ... -17.452 eV per atom
Formation energy ... 698 meV/atom

---

YAl2Cr at its PBEsol-relaxed geometry. Source: the Alexandria database, functional SCAN.

abc: 3.197 3.197 7.115
angles: 90.00 90.00 90.00
Space group P4mm (No. 99)
Asymmetric unit:
Y: 0.000 0.000 0.000 [1 per cell]
Al: 0.000 0.000 0.545 [1 per cell]
Al: 0.500 0.500 0.316 [1 per cell]
Cr: 0.500 0.500 0.723 [1 per cell]

Output
Final energy ... -15.541 eV per atom
Formation energy ... -108 meV/atom

---

YAl8Cr4 at its PBEsol-relaxed geometry. Source: the Alexandria database, functional SCAN.

abc: 8.826 8.826 5.006
angles: 90.00 90.00 90.00
Space group I4/mmm (No. 139)
Asymmetric unit:
Y: 0.000 0.000 0.000 [2 per cell]
Al: 0.000 0.222 0.500 [8 per cell]
Al: 0.000 0.336 0.000 [8 per cell]
Cr: 0.250 0.250 0.250 [8 per cell]

Output
Final energy ... -12.825 eV per atom
Formation energy ... -256 meV/atom

---

AlZnCr4 at its PBEsol-relaxed geometry. Source: the Alexandria database, functional SCAN.

abc: 6.685 6.685 6.685
angles: 90.00 90.00 90.00
Space group F-43m (No. 216)
Asymmetric unit:
Al: 0.000 0.000 0.000 [4 per cell]
Zn: 0.250 0.250 0.750 [4 per cell]
Cr: 0.124 0.124 0.376 [16 per cell]

Output
Final energy ... -15.542 eV per atom
Formation energy ... 259 meV/atom